# 1
VASP calculation (PBE) on a relaxed Tb3NdN4 crystal.

Crystal system = monoclinic
D(E_F) = 0.47 states/eV/f.u.
Uncorrected energy = -129.08 eV per cell

Cell and atoms, written as CIF:
```
data_Tb3NdN4
_chemical_formula_sum 'Tb6 Nd2 N8'
_cell_length_a 6.1276
_cell_length_b 7.0815
_cell_length_c 6.1264
_cell_angle_alpha 90.00
_cell_angle_beta 109.45
_cell_angle_gamma 90.00
_symmetry_space_group_name_H-M 'P 1 2/c 1'
_symmetry_Int_Tables_number 13
_symmetry_space_group_name_Hall '-P 2yc'
loop_
_atom_site_label
_atom_site_type_symbol
_atom_site_fract_x
_atom_site_fract_y
_atom_site_fract_z
Tb1 Tb 0.0000 0.1245 0.2500
Tb2 Tb 0.0000 0.3715 0.7500
Tb3 Tb 0.5000 0.1242 0.7500
Nd1 Nd 0.5000 0.3731 0.2500
N1 N 0.2428 0.3679 0.5017
N2 N 0.2479 0.1234 0.9952
```

# 2
VASP calculation (PBE) on a relaxed TbNdN2 crystal.

Crystal system = trigonal
D(E_F) = 0.26 states/eV/f.u.
Uncorrected energy = -30.65 eV per cell

Cell and atoms, written as CIF:
```
data_TbNdN2
_chemical_formula_sum 'Tb1 Nd1 N2'
_cell_length_a 3.5104
_cell_length_b 3.5104
_cell_length_c 6.1815
_cell_angle_alpha 90.00
_cell_angle_beta 90.00
_cell_angle_gamma 120.00
_symmetry_space_group_name_H-M 'P -3 m 1'
_symmetry_Int_Tables_number 164
_symmetry_space_group_name_Hall '-P 3 2"'
loop_
_atom_site_label
_atom_site_type_symbol
_atom_site_fract_x
_atom_site_fract_y
_atom_site_fract_z
Tb1 Tb 0.0000 0.0000 0.0000
Nd1 Nd 0.0000 0.0000 0.5000
N1 N 0.3333 0.6667 0.2409
```

# 3
VASP calculation (PBE) on a relaxed TbNd2TcN4 crystal.

Crystal system = orthorhombic
D(E_F) = 2.08 states/eV/f.u.
Uncorrected energy = -259.98 eV per cell

Cell and atoms, written as CIF:
```
data_TbNd2TcN4
_chemical_formula_sum 'Tb4 Nd8 Tc4 N16'
_cell_length_a 3.4833
_cell_length_b 11.9748
_cell_length_c 12.0801
_cell_angle_alpha 90.00
_cell_angle_beta 90.00
_cell_angle_gamma 90.00
_symmetry_space_group_name_H-M 'C m c m'
_symmetry_Int_Tables_number 63
_symmetry_space_group_name_Hall '-C 2c 2'
loop_
_atom_site_label
_atom_site_type_symbol
_atom_site_fract_x
_atom_site_fract_y
_atom_site_fract_z
Tb1 Tb 0.0000 0.1324 0.2500
Nd1 Nd 0.0000 0.3676 0.0398
Tc1 Tc 0.0000 0.1404 0.7500
N1 N 0.0000 0.0000 0.0000
N2 N 0.0000 0.2692 0.6384
N3 N 0.0000 0.4368 0.2500
```

# 4
VASP calculation (PBE) on a relaxed Tb4Nd2Te3N2 crystal.

Crystal system = tetragonal
D(E_F) = 6.35 states/eV/f.u.
Uncorrected energy = -134.59 eV per cell

Cell and atoms, written as CIF:
```
data_Tb4Nd2Te3N2
_chemical_formula_sum 'Tb8 Nd4 Te6 N4'
_cell_length_a 4.6271
_cell_length_b 4.6271
_cell_length_c 25.9761
_cell_angle_alpha 90.00
_cell_angle_beta 90.00
_cell_angle_gamma 90.00
_symmetry_space_group_name_H-M 'I 4/m m m'
_symmetry_Int_Tables_number 139
_symmetry_space_group_name_Hall '-I 4 2'
loop_
_atom_site_label
_atom_site_type_symbol
_atom_site_fract_x
_atom_site_fract_y
_atom_site_fract_z
Tb1 Tb 0.0000 0.5000 0.0849
Nd1 Nd 0.0000 0.0000 0.1962
Te1 Te 0.0000 0.0000 0.3246
Te2 Te 0.0000 0.0000 0.5000
N1 N 0.0000 0.0000 0.1018
```

# 5
VASP calculation (PBE) on a relaxed TbNd2Te2N2 crystal.

Crystal system = tetragonal
D(E_F) = 2.80 states/eV/f.u.
Uncorrected energy = -90.83 eV per cell

Cell and atoms, written as CIF:
```
data_TbNd2Te2N2
_chemical_formula_sum 'Tb2 Nd4 Te4 N4'
_cell_length_a 4.4477
_cell_length_b 4.4477
_cell_length_c 16.3851
_cell_angle_alpha 90.00
_cell_angle_beta 90.00
_cell_angle_gamma 90.00
_symmetry_space_group_name_H-M 'I 4/m m m'
_symmetry_Int_Tables_number 139
_symmetry_space_group_name_Hall '-I 4 2'
loop_
_atom_site_label
_atom_site_type_symbol
_atom_site_fract_x
_atom_site_fract_y
_atom_site_fract_z
Tb1 Tb 0.0000 0.0000 0.0000
Nd1 Nd 0.0000 0.0000 0.3963
Te1 Te 0.0000 0.0000 0.1869
N1 N 0.0000 0.5000 0.0000
```

# 6
VASP calculation (PBE) on a relaxed TbNd2ThN4 crystal.

Crystal system = monoclinic
D(E_F) = 1.79 states/eV/f.u.
Uncorrected energy = -67.10 eV per cell

Cell and atoms, written as CIF:
```
data_TbNd2ThN4
_chemical_formula_sum 'Tb1 Nd2 Th1 N4'
_cell_length_a 6.2479
_cell_length_b 3.6249
_cell_length_c 6.2718
_cell_angle_alpha 90.00
_cell_angle_beta 109.31
_cell_angle_gamma 90.00
_symmetry_space_group_name_H-M 'P 1 2/m 1'
_symmetry_Int_Tables_number 10
_symmetry_space_group_name_Hall '-P 2y'
loop_
_atom_site_label
_atom_site_type_symbol
_atom_site_fract_x
_atom_site_fract_y
_atom_site_fract_z
Tb1 Tb 0.0000 0.0000 0.0000
Nd1 Nd 0.0000 0.5000 0.5000
Nd2 Nd 0.5000 0.0000 0.5000
Th1 Th 0.5000 0.5000 0.0000
N1 N 0.2479 0.5000 0.2375
N2 N 0.2546 0.0000 0.7629
```

# 7
VASP calculation (PBE) on a relaxed Tb3NdTh2N6 crystal.

Crystal system = monoclinic
D(E_F) = 2.67 states/eV/f.u.
Uncorrected energy = -205.16 eV per cell

Cell and atoms, written as CIF:
```
data_Tb3NdTh2N6
_chemical_formula_sum 'Tb6 Nd2 Th4 N12'
_cell_length_a 15.5832
_cell_length_b 3.5892
_cell_length_c 7.1608
_cell_angle_alpha 90.00
_cell_angle_beta 103.14
_cell_angle_gamma 90.00
_symmetry_space_group_name_H-M 'C 1 2/m 1'
_symmetry_Int_Tables_number 12
_symmetry_space_group_name_Hall '-C 2y'
loop_
_atom_site_label
_atom_site_type_symbol
_atom_site_fract_x
_atom_site_fract_y
_atom_site_fract_z
Tb1 Tb 0.0000 0.0000 0.0000
Tb2 Tb 0.1650 0.5000 0.3345
Nd1 Nd 0.0000 0.0000 0.5000
Th1 Th 0.1654 0.5000 0.8299
N1 N 0.0015 0.5000 0.7594
N2 N 0.1665 0.0000 0.0831
N3 N 0.1697 0.0000 0.5856
```

# 8
VASP calculation (PBE) on a relaxed Tb2NdTiN4 crystal.

Crystal system = orthorhombic
D(E_F) = 2.83 states/eV/f.u.
Uncorrected energy = -267.08 eV per cell

Cell and atoms, written as CIF:
```
data_Tb2NdTiN4
_chemical_formula_sum 'Tb8 Nd4 Ti4 N16'
_cell_length_a 3.4338
_cell_length_b 11.8604
_cell_length_c 11.9477
_cell_angle_alpha 90.00
_cell_angle_beta 90.00
_cell_angle_gamma 90.00
_symmetry_space_group_name_H-M 'C m c m'
_symmetry_Int_Tables_number 63
_symmetry_space_group_name_Hall '-C 2c 2'
loop_
_atom_site_label
_atom_site_type_symbol
_atom_site_fract_x
_atom_site_fract_y
_atom_site_fract_z
Tb1 Tb 0.0000 0.1298 0.0393
Nd1 Nd 0.0000 0.4025 0.2500
Ti1 Ti 0.0000 0.3341 0.7500
N1 N 0.0000 0.0706 0.2500
N2 N 0.0000 0.2367 0.6251
N3 N 0.0000 0.5000 0.0000
```